Computed, not measured: a relaxed structure of RbMn2CuCl8 at the PBE level of DFT.

Values from the calculation:
Uncorrected formation energy ... -1025 meV/atom
M_tot ... 0.667 μB per atom
Uncorrected energy ... -4.206 eV per atom

Cell: 6.5351 6.5351 9.0697 Å, 90.00 90.00 120.00°
Fractional positions:
Rb 0.0000 0.0000 0.0000
Mn 0.6667 0.3333 0.2733
Mn 0.3333 0.6667 0.7267
Cu 0.0000 0.0000 0.5000
Cl 0.3333 0.6667 0.9724
Cl 0.3103 0.2880 0.3400
Cl 0.7120 0.0223 0.3400
Cl 0.6667 0.3333 0.0276
Cl 0.2880 0.9777 0.6600
Cl 0.6897 0.7120 0.6600
Cl 0.0223 0.3103 0.6600
Cl 0.9777 0.6897 0.3400


Computed, not measured: a relaxed structure of Rb3MnCu2Cl9 at the PBE level of DFT.

Values from the calculation:
Uncorrected formation energy ... -1230 meV/atom
M_tot ... 0.198 μB per atom
Uncorrected energy ... -3.689 eV per atom

Cell: 6.9987 6.9987 8.5707 Å, 90.00 90.00 120.00°
Fractional positions:
Rb 0.3333 0.6667 0.6728
Rb 0.0000 0.0000 0.0000
Rb 0.6667 0.3333 0.3272
Mn 0.0000 0.0000 0.5000
Cu 0.3333 0.6667 0.1570
Cu 0.6667 0.3333 0.8430
Cl 0.8357 0.1643 0.6626
Cl 0.8357 0.6713 0.6626
Cl 0.3287 0.1643 0.6626
Cl 0.6713 0.8357 0.3374
Cl 0.1643 0.3287 0.3374
Cl 0.1643 0.8357 0.3374
Cl 0.5000 0.0000 0.0000
Cl 0.0000 0.5000 0.0000
Cl 0.5000 0.5000 0.0000


Computed, not measured: a relaxed structure of RbMnCuCl5 at the PBE level of DFT.

Values from the calculation:
Uncorrected formation energy ... -1114 meV/atom
M_tot ... 0.500 μB per atom
Uncorrected energy ... -4.047 eV per atom

Cell: 7.1770 7.1770 9.3145 Å, 103.15 103.15 106.89°
Fractional positions:
Rb 0.3392 0.6608 0.2500
Rb 0.6608 0.3392 0.7500
Mn 0.0000 0.0000 0.5000
Mn 0.0000 0.0000 0.0000
Cu 0.6906 0.3094 0.2500
Cu 0.3094 0.6906 0.7500
Cl 0.0570 0.9430 0.2500
Cl 0.9430 0.0570 0.7500
Cl 0.8958 0.2857 0.0927
Cl 0.1042 0.7143 0.9073
Cl 0.7143 0.1042 0.4073
Cl 0.2857 0.8958 0.5927
Cl 0.7725 0.6324 0.4218
Cl 0.2275 0.3676 0.5782
Cl 0.3676 0.2275 0.0782
Cl 0.6324 0.7725 0.9218


Computed, not measured: a relaxed structure of Rb3MnCu2Cl8 at the PBE level of DFT.

Values from the calculation:
Uncorrected formation energy ... -1266 meV/atom
M_tot ... 0.286 μB per atom
Uncorrected energy ... -3.768 eV per atom

Cell: 7.0602 7.0602 9.2521 Å, 90.00 90.00 120.00°
Fractional positions:
Rb 0.3333 0.6667 0.6434
Rb 0.6667 0.3333 0.3566
Rb 0.0000 0.0000 0.0000
Mn 0.0000 0.0000 0.5000
Cu 0.3333 0.6667 0.2218
Cu 0.6667 0.3333 0.7782
Cl 0.3333 0.6667 0.9861
Cl 0.6667 0.3333 0.0139
Cl 0.1625 0.8375 0.3406
Cl 0.8375 0.1625 0.6594
Cl 0.1625 0.3250 0.3406
Cl 0.8375 0.6750 0.6594
Cl 0.6750 0.8375 0.3406
Cl 0.3250 0.1625 0.6594


Number 1: calculated density 2.686 g cm⁻³. Number 2: calculated density 3.460 g cm⁻³. Number 3: calculated density 2.984 g cm⁻³. Number 4: calculated density 3.002 g cm⁻³.